Record 1
A plane-wave DFT calculation with PBE was carried out for a relaxed structure of LuIn2Ge.

Output
Theoretical density, g cm⁻³: 7.3
ΔE_f, meV/atom: 202.5
N(E_F), states/eV/atom: 0.618

Geometry as CIF:
```
data_LuIn2Ge
_chemical_formula_sum 'Lu3 In6 Ge3'
_cell_length_a 3.4121
_cell_length_b 3.4121
_cell_length_c 32.3158
_cell_angle_alpha 90.00
_cell_angle_beta 90.00
_cell_angle_gamma 120.00
_space_group_name_H-M_alt 'R -3 m'
_space_group_IT_number 166
_space_group_name_Hall '-R 3 2"'
loop_
_atom_site_label
_atom_site_fract_x
_atom_site_fract_y
_atom_site_fract_z
_atom_site_occupancy
Lu1 0.0000 0.0000 0.0000 1
In1 0.0000 0.0000 0.0961 1
Ge1 0.0000 0.0000 0.5000 1
```

Record 2
A plane-wave DFT calculation with PBE was carried out for a relaxed structure of LuInGePt.

Output
Theoretical density, g cm⁻³: 11.6
ΔE_f, meV/atom: -606.4
N(E_F), states/eV/atom: 0.161

Geometry as CIF:
```
data_LuInGePt
_chemical_formula_sum 'Lu4 In4 Ge4 Pt4'
_cell_length_a 6.8430
_cell_length_b 6.8430
_cell_length_c 6.8430
_cell_angle_alpha 90.00
_cell_angle_beta 90.00
_cell_angle_gamma 90.00
_space_group_name_H-M_alt 'F -4 3 m'
_space_group_IT_number 216
_space_group_name_Hall 'F -4 2 3'
loop_
_atom_site_label
_atom_site_fract_x
_atom_site_fract_y
_atom_site_fract_z
_atom_site_occupancy
Lu1 0.0000 0.0000 0.0000 1
In1 0.0000 0.0000 0.5000 1
Ge1 0.2500 0.2500 0.7500 1
Pt1 0.2500 0.2500 0.2500 1
```

Record 3
A plane-wave DFT calculation with PBE was carried out for a relaxed structure of MgInGe3.

Output
Theoretical density, g cm⁻³: 4.6
ΔE_f, meV/atom: 586.6
N(E_F), states/eV/atom: 0.823

Geometry as CIF:
```
data_MgInGe3
_chemical_formula_sum 'Mg1 In1 Ge3'
_cell_length_a 5.0594
_cell_length_b 5.0594
_cell_length_c 5.0594
_cell_angle_alpha 90.00
_cell_angle_beta 90.00
_cell_angle_gamma 90.00
_space_group_name_H-M_alt 'P m -3 m'
_space_group_IT_number 221
_space_group_name_Hall '-P 4 2 3'
loop_
_atom_site_label
_atom_site_fract_x
_atom_site_fract_y
_atom_site_fract_z
_atom_site_occupancy
Mg1 0.0000 0.0000 0.0000 1
In1 0.5000 0.5000 0.5000 1
Ge1 0.0000 0.0000 0.5000 1
```

Question: What is the formula in the third record?
Answer: MgInGe3

Question: Among the records above, which one has the lowest N(E_F)?
Answer: LuInGePt

Copy entry 2 word for word.
A plane-wave DFT calculation with PBE was carried out for a relaxed structure of LuInGePt.

Output
Theoretical density, g cm⁻³: 11.6
ΔE_f, meV/atom: -606.4
N(E_F), states/eV/atom: 0.161

Geometry as CIF:
```
data_LuInGePt
_chemical_formula_sum 'Lu4 In4 Ge4 Pt4'
_cell_length_a 6.8430
_cell_length_b 6.8430
_cell_length_c 6.8430
_cell_angle_alpha 90.00
_cell_angle_beta 90.00
_cell_angle_gamma 90.00
_space_group_name_H-M_alt 'F -4 3 m'
_space_group_IT_number 216
_space_group_name_Hall 'F -4 2 3'
loop_
_atom_site_label
_atom_site_fract_x
_atom_site_fract_y
_atom_site_fract_z
_atom_site_occupancy
Lu1 0.0000 0.0000 0.0000 1
In1 0.0000 0.0000 0.5000 1
Ge1 0.2500 0.2500 0.7500 1
Pt1 0.2500 0.2500 0.2500 1
```

Question: What is the formula in the first record?
Answer: LuIn2Ge